Entry 1:
# NiW2Se

A geometry-optimized NiW2Se structure (PBE-GGA, the Alexandria database).

```
8
Lattice="3.1068 0.0000 0.0000 0.0000 4.4195 0.0000 0.0000 0.0000 8.8422" Properties=species:S:1:pos:R:3 pbc="T T T"
Ni 0.0000 0.0000 0.0000
Ni 1.5534 2.2098 4.4211
W 0.0000 2.2098 2.0518
W 0.0000 2.2098 6.7903
W 1.5534 0.0000 2.3692
W 1.5534 0.0000 6.4729
Se 0.0000 0.0000 4.4211
Se 1.5534 2.2098 0.0000
```

DOS at the Fermi energy in states/eV/cell: 4.66
E in eV/atom: -8.32
Raw formation energy in eV per atom: 0.471

=====

Entry 2:
# SrNpB2O6

A geometry-optimized SrNpB2O6 structure (PBE-GGA, the Alexandria database).

```
20
Lattice="3.9817 -5.0548 0.0000 3.9817 5.0548 0.0000 -1.9543 0.0000 6.4511" Properties=species:S:1:pos:R:3 pbc="T T T"
Sr 2.5161 3.7275 4.8384
Sr 3.4932 -3.7275 1.6128
Np 3.4932 0.9062 1.6128
Np 2.5161 -0.9062 4.8384
B 0.5911 1.3148 4.7923
B 1.5682 -1.3148 1.5667
B 4.4410 1.3148 4.8844
B 5.4182 -1.3148 1.6589
O 1.9652 2.4860 1.8674
O 0.3607 0.2325 3.9905
O 1.3378 -0.2325 0.7650
O 1.5463 1.1675 5.8076
O 5.0211 2.4860 1.3582
O 3.4858 1.1675 3.8691
O 2.5235 -1.1675 2.5820
O 0.9881 -2.4860 5.0930
O 4.4629 -1.1675 0.6436
O 4.6714 0.2325 5.6862
O 5.6485 -0.2325 2.4606
O 4.0440 -2.4860 4.5837
```

DOS at the Fermi energy in states/eV/cell: 17.63
E in eV/atom: -8.53
Raw formation energy in eV per atom: -2.758

=====

Entry 3:
# ZrAs2PtPb

A geometry-optimized ZrAs2PtPb structure (PBE-GGA, the Alexandria database).

```
5
Lattice="4.8354 0.0000 0.0000 0.0000 4.8354 0.0000 0.0000 0.0000 5.4541" Properties=species:S:1:pos:R:3 pbc="T T T"
Zr 0.0000 0.0000 0.0000
As 0.0000 2.4177 2.7270
As 2.4177 0.0000 2.7270
Pt 2.4177 2.4177 2.7270
Pb 2.4177 2.4177 0.0000
```

E_form in eV/atom: 0.478
DOS at the Fermi energy in states/eV/cell: 3.98
E in eV/atom: -5.04

=====

Entry 4:
# La2ZnCu

A geometry-optimized La2ZnCu structure (PBE-GGA, the Alexandria database).

```
8
Lattice="8.8049 0.0000 0.0000 0.0000 3.9124 0.0000 -1.7545 0.0000 6.5603" Properties=species:S:1:pos:R:3 pbc="T T T"
La 1.7334 0.0000 1.5395
La 0.9146 1.9562 5.0207
La 6.1358 1.9562 1.5395
La 5.3171 0.0000 5.0207
Zn -0.8772 0.0000 3.2801
Zn 3.5252 1.9562 3.2801
Cu 0.0000 1.9562 0.0000
Cu 4.4025 0.0000 0.0000
```

E_form in eV/atom: 0.001
DOS at the Fermi energy in states/eV/cell: 10.71
E in eV/atom: -3.81

=====

Entry 5:
# Nd10Ga3Sb3

A geometry-optimized Nd10Ga3Sb3 structure (PBE-GGA, the Alexandria database).

```
16
Lattice="9.1243 0.0000 0.0000 -4.5621 7.9018 0.0000 0.0000 0.0000 6.7384" Properties=species:S:1:pos:R:3 pbc="T T T"
Nd -1.1014 1.9077 0.0000
Nd -3.4566 5.9870 3.3692
Nd 2.2028 0.0000 0.0000
Nd 1.1055 1.9148 3.3692
Nd 0.0000 5.2679 1.6540
Nd 0.0000 5.2679 5.0845
Nd 4.5621 2.6339 1.6540
Nd 4.5621 2.6339 5.0845
Nd 6.9132 0.0000 3.3692
Nd 3.4607 5.9942 0.0000
Ga -2.7600 4.7804 0.0000
Ga 1.8022 3.1214 0.0000
Ga 5.5199 0.0000 0.0000
Sb -1.7942 3.1076 3.3692
Sb 3.5884 0.0000 3.3692
Sb 2.7679 4.7942 3.3692
```

DOS at the Fermi energy in states/eV/cell: 19.32
E in eV/atom: -5.00
Raw formation energy in eV per atom: -0.679

=====

Entry 6:
# TbNdZnAu

A geometry-optimized TbNdZnAu structure (PBE-GGA, the Alexandria database).

```
16
Lattice="7.3143 0.0000 0.0000 0.0000 7.3143 0.0000 0.0000 0.0000 7.3143" Properties=species:S:1:pos:R:3 pbc="T T T"
Tb 0.0000 0.0000 0.0000
Tb 0.0000 3.6572 3.6572
Tb 3.6572 0.0000 3.6572
Tb 3.6572 3.6572 0.0000
Nd 0.0000 0.0000 3.6572
Nd 0.0000 3.6572 0.0000
Nd 3.6572 0.0000 0.0000
Nd 3.6572 3.6572 3.6572
Zn 1.8286 1.8286 5.4857
Zn 1.8286 5.4857 1.8286
Zn 5.4857 1.8286 1.8286
Zn 5.4857 5.4857 5.4857
Au 1.8286 1.8286 1.8286
Au 1.8286 5.4857 5.4857
Au 5.4857 1.8286 5.4857
Au 5.4857 5.4857 1.8286
```

E_form in eV/atom: -0.548
DOS at the Fermi energy in states/eV/cell: 8.95
Offset from the most stable computed form in meV per atom: 21.2
E in eV/atom: -4.04

=====

Entry 7:
# SrCeDy4S8

A geometry-optimized SrCeDy4S8 structure (PBE-GGA, the Alexandria database).

```
14
Lattice="4.0867 2.3594 6.7758 -4.0867 2.3594 6.7758 0.0000 -4.7189 6.7758" Properties=species:S:1:pos:R:3 pbc="T T T"
Sr 0.0000 0.0000 0.0000
Ce 0.0000 0.0000 7.5966
Dy 0.0000 -2.3880 11.0072
Dy -2.0681 1.1940 11.0072
Dy 0.0000 0.0000 15.2279
Dy 2.0681 1.1940 11.0072
S 0.0000 -2.1193 5.7585
S -1.8354 1.0596 5.7585
S 0.0000 0.0000 2.8142
S -1.9618 -1.1327 9.4166
S 1.8354 1.0596 5.7586
S 0.0000 0.0000 12.5426
S 1.9618 -1.1327 9.4166
S 0.0000 2.2653 9.4166
```

DOS at the Fermi energy in states/eV/cell: 9.91
E in eV/atom: -6.19
Raw formation energy in eV per atom: -1.970

=====

Entry 8:
# Ca2CoTcMo

A geometry-optimized Ca2CoTcMo structure (PBE-GGA, the Alexandria database).

```
5
Lattice="5.1872 0.0000 0.0000 0.0000 5.1872 0.0000 0.0000 0.0000 4.4063" Properties=species:S:1:pos:R:3 pbc="T T T"
Ca 0.0000 2.5936 0.0000
Ca 2.5936 0.0000 0.0000
Co 0.0000 0.0000 0.0000
Tc 0.0000 0.0000 2.2032
Mo 2.5936 2.5936 2.2032
```

E_form in eV/atom: 1.137
DOS at the Fermi energy in states/eV/cell: 5.28
E in eV/atom: -5.32

=====

Entry 9:
# RbAg2BW

A geometry-optimized RbAg2BW structure (PBE-GGA, the Alexandria database).

```
5
Lattice="4.8509 0.0000 0.0000 0.0000 4.8509 0.0000 0.0000 0.0000 4.2970" Properties=species:S:1:pos:R:3 pbc="T T T"
Rb 0.0000 0.0000 0.0000
Ag 0.0000 2.4255 2.1485
Ag 2.4255 0.0000 2.1485
B 2.4255 2.4255 2.1485
W 2.4255 2.4255 0.0000
```

E_form in eV/atom: 1.003
DOS at the Fermi energy in states/eV/cell: 2.75
E in eV/atom: -4.26

=====

Entry 10:
# K2AlBiTe4

A geometry-optimized K2AlBiTe4 structure (PBE-GGA, the Alexandria database).

```
16
Lattice="8.7722 0.0000 0.0000 0.0000 8.7722 0.0000 0.0000 0.0000 7.5931" Properties=species:S:1:pos:R:3 pbc="T T T"
K 0.0000 4.3861 0.0000
K 0.0000 4.3861 3.7965
K 4.3861 0.0000 0.0000
K 4.3861 0.0000 3.7965
Al 0.0000 0.0000 0.0000
Al 4.3861 4.3861 3.7965
Bi 0.0000 0.0000 3.7965
Bi 4.3861 4.3861 0.0000
Te 1.5103 1.5103 5.9791
Te 1.5103 7.2619 1.6139
Te 2.8758 2.8758 2.1826
Te 2.8758 5.8964 5.4105
Te 5.8964 2.8758 5.4105
Te 5.8964 5.8964 2.1826
Te 7.2619 1.5103 1.6139
Te 7.2619 7.2619 5.9791
```

E in eV/atom: -3.45
Raw formation energy in eV per atom: -0.656

=====

Entry 11:
# La4Ru2Cl3

A geometry-optimized La4Ru2Cl3 structure (PBE-GGA, the Alexandria database).

```
9
Lattice="7.1960 -1.9951 0.0000 7.1960 1.9951 0.0000 -5.3807 0.0000 9.0050" Properties=species:S:1:pos:R:3 pbc="T T T"
La -1.1486 0.0000 3.1718
La -0.0331 0.0000 7.5251
La 9.0443 0.0000 1.4798
La 10.1598 0.0000 5.8332
Ru 1.0316 0.0000 5.4647
Ru 7.9796 0.0000 3.5402
Cl 0.0000 0.0000 0.0000
Cl 4.2142 0.0000 1.4415
Cl 4.7970 0.0000 7.5634
```

DOS at the Fermi energy in states/eV/cell: 5.65
E in eV/atom: -5.89
Raw formation energy in eV per atom: -1.026

=====

Entry 12:
# Pt3Br

A geometry-optimized Pt3Br structure (PBE-GGA, the Alexandria database).

```
16
Lattice="3.7468 0.0000 0.0000 0.0000 3.7468 0.0000 0.0000 0.0000 22.6634" Properties=species:S:1:pos:R:3 pbc="T T T"
Pt 0.0000 0.0000 1.8664
Pt 0.0000 0.0000 20.7970
Pt 0.0000 1.8734 0.0000
Pt 0.0000 1.8734 5.6658
Pt 0.0000 1.8734 11.3317
Pt 0.0000 1.8734 16.9975
Pt 1.8734 0.0000 0.0000
Pt 1.8734 0.0000 5.6658
Pt 1.8734 0.0000 11.3317
Pt 1.8734 0.0000 16.9975
Pt 1.8734 1.8734 9.4653
Pt 1.8734 1.8734 13.1981
Br 0.0000 0.0000 7.9692
Br 0.0000 0.0000 14.6941
Br 1.8734 1.8734 3.3625
Br 1.8734 1.8734 19.3009
```

DOS at the Fermi energy in states/eV/cell: 18.11
Offset from the most stable computed form in meV per atom: 156.1
E in eV/atom: -4.42
Raw formation energy in eV per atom: 0.532